# 1
Here is crystalline ZnCrOs at its relaxed geometry from Alexandria via LeMat-Bulk. Energies are from GGA-PBE.

Structure (CIF):
```
data_ZnCrOs
_chemical_formula_sum 'Zn1 Cr1 Os1'
_cell_length_a 5.022
_cell_length_b 5.022
_cell_length_c 5.022
_cell_angle_alpha 145.62
_cell_angle_beta 145.62
_cell_angle_gamma 49.41
_space_group_name_H-M_alt 'P 1'
_space_group_IT_number 1
_space_group_name_Hall 'P 1'
loop_
_atom_site_label
_atom_site_type_symbol
_atom_site_fract_x
_atom_site_fract_y
_atom_site_fract_z
_atom_site_occupancy
Zn1 Zn 0.662 0.662 0.000 1
Cr1 Cr 0.991 0.991 0.000 1
Os1 Os 0.347 0.347 0.000 1
```

Output
**Energy of formation from the pure elements**: 0.0855 eV per atom
**Relative energy among the computed polymorphs**: 0.000 eV per atom

=====

# 2
Here is crystalline Ce4In2N at its relaxed geometry from Alexandria via LeMat-Bulk. Energies are from GGA-PBE.

Structure (CIF):
```
data_Ce4In2N
_chemical_formula_sum 'Ce4 In2 N1'
_cell_length_a 3.280
_cell_length_b 5.079
_cell_length_c 12.382
_cell_angle_alpha 101.84
_cell_angle_beta 90.00
_cell_angle_gamma 90.00
_space_group_name_H-M_alt 'P 1'
_space_group_IT_number 1
_space_group_name_Hall 'P 1'
loop_
_atom_site_label
_atom_site_type_symbol
_atom_site_fract_x
_atom_site_fract_y
_atom_site_fract_z
_atom_site_occupancy
N1 N 0.000 0.500 0.000 1
Ce1 Ce 0.000 0.284 0.567 1
Ce2 Ce 0.000 0.716 0.433 1
Ce3 Ce 0.500 0.432 0.863 1
Ce4 Ce 0.500 0.568 0.137 1
In1 In 0.500 0.841 0.682 1
In2 In 0.500 0.159 0.318 1
```

Output
**Relative energy among the computed polymorphs**: 0.205 eV per atom
**Formation energy from raw total energies**: -344 meV per atom

=====

# 3
Here is crystalline Mg2TiH at its relaxed geometry from Alexandria via LeMat-Bulk. Energies are from GGA-PBE.

Structure (CIF):
```
data_Mg2TiH
_chemical_formula_sum 'Mg2 Ti1 H1'
_cell_length_a 4.677
_cell_length_b 4.677
_cell_length_c 4.677
_cell_angle_alpha 60.00
_cell_angle_beta 60.00
_cell_angle_gamma 60.00
_space_group_name_H-M_alt 'P 1'
_space_group_IT_number 1
_space_group_name_Hall 'P 1'
loop_
_atom_site_label
_atom_site_type_symbol
_atom_site_fract_x
_atom_site_fract_y
_atom_site_fract_z
_atom_site_occupancy
H1 H 0.000 0.000 0.000 1
Mg1 Mg 0.750 0.750 0.750 1
Mg2 Mg 0.250 0.250 0.250 1
Ti1 Ti 0.500 0.500 0.500 1
```

Output
**Relative energy among the computed polymorphs**: 0.541 eV per atom

=====

# 4
Here is crystalline ScSeCl4 at its relaxed geometry from Alexandria via LeMat-Bulk. Energies are from GGA-PBE.

Structure (CIF):
```
data_ScSeCl4
_chemical_formula_sum 'Sc1 Se1 Cl4'
_cell_length_a 5.701
_cell_length_b 5.701
_cell_length_c 5.701
_cell_angle_alpha 60.00
_cell_angle_beta 60.00
_cell_angle_gamma 60.00
_space_group_name_H-M_alt 'P 1'
_space_group_IT_number 1
_space_group_name_Hall 'P 1'
loop_
_atom_site_label
_atom_site_type_symbol
_atom_site_fract_x
_atom_site_fract_y
_atom_site_fract_z
_atom_site_occupancy
Cl1 Cl 0.376 0.376 0.376 1
Cl2 Cl 0.376 0.873 0.376 1
Cl3 Cl 0.873 0.376 0.376 1
Cl4 Cl 0.376 0.376 0.873 1
Se1 Se 0.000 0.000 0.000 1
Sc1 Sc 0.750 0.750 0.750 1
```

Output
**Formation energy from raw total energies**: 161 meV per atom

=====

# 5
Here is crystalline CoSbBr2 at its relaxed geometry from Alexandria via LeMat-Bulk. Energies are from GGA-PBE.

Structure (CIF):
```
data_CoSbBr2
_chemical_formula_sum 'Co1 Sb1 Br2'
_cell_length_a 3.183
_cell_length_b 3.183
_cell_length_c 11.540
_cell_angle_alpha 90.00
_cell_angle_beta 90.00
_cell_angle_gamma 90.00
_space_group_name_H-M_alt 'P 1'
_space_group_IT_number 1
_space_group_name_Hall 'P 1'
loop_
_atom_site_label
_atom_site_type_symbol
_atom_site_fract_x
_atom_site_fract_y
_atom_site_fract_z
_atom_site_occupancy
Sb1 Sb 0.500 0.500 0.750 1
Br1 Br 0.000 0.000 0.111 1
Br2 Br 0.000 0.000 0.389 1
Co1 Co 0.500 0.500 0.250 1
```

Output
**Relative energy among the computed polymorphs**: 0.435 eV per atom
**Formation energy from raw total energies**: 301 meV per atom

=====

# 6
Here is crystalline CaNd2Br at its relaxed geometry from Alexandria via LeMat-Bulk. Energies are from GGA-PBE.

Structure (CIF):
```
data_CaNd2Br
_chemical_formula_sum 'Ca1 Nd2 Br1'
_cell_length_a 3.629
_cell_length_b 3.629
_cell_length_c 12.004
_cell_angle_alpha 81.31
_cell_angle_beta 81.31
_cell_angle_gamma 60.00
_space_group_name_H-M_alt 'P 1'
_space_group_IT_number 1
_space_group_name_Hall 'P 1'
loop_
_atom_site_label
_atom_site_type_symbol
_atom_site_fract_x
_atom_site_fract_y
_atom_site_fract_z
_atom_site_occupancy
Nd1 Nd 0.901 0.901 0.296 1
Nd2 Nd 0.099 0.099 0.704 1
Ca1 Ca 0.000 0.000 0.000 1
Br1 Br 0.500 0.500 0.500 1
```

Output
**Formation energy from raw total energies**: -373 meV per atom

=====

# 7
Here is crystalline BaIr2Os at its relaxed geometry from Alexandria via LeMat-Bulk. Energies are from GGA-PBE.

Structure (CIF):
```
data_BaIr2Os
_chemical_formula_sum 'Ba1 Ir2 Os1'
_cell_length_a 4.780
_cell_length_b 4.780
_cell_length_c 6.556
_cell_angle_alpha 79.44
_cell_angle_beta 79.44
_cell_angle_gamma 36.53
_space_group_name_H-M_alt 'P 1'
_space_group_IT_number 1
_space_group_name_Hall 'P 1'
loop_
_atom_site_label
_atom_site_type_symbol
_atom_site_fract_x
_atom_site_fract_y
_atom_site_fract_z
_atom_site_occupancy
Ir1 Ir 0.024 0.024 0.916 1
Ir2 Ir 0.751 0.751 0.716 1
Ba1 Ba 0.245 0.245 0.247 1
Os1 Os 0.479 0.479 0.621 1
```

Output
**Energy of formation from the pure elements**: 0.5558 eV per atom
**Relative energy among the computed polymorphs**: 0.437 eV per atom

=====

# 8
Here is crystalline Ce2BeCo6Si at its relaxed geometry from Alexandria via LeMat-Bulk. Energies are from GGA-PBE.

Structure (CIF):
```
data_Ce2BeCo6Si
_chemical_formula_sum 'Ce2 Be1 Co6 Si1'
_cell_length_a 5.852
_cell_length_b 5.852
_cell_length_c 5.852
_cell_angle_alpha 60.00
_cell_angle_beta 60.00
_cell_angle_gamma 90.00
_space_group_name_H-M_alt 'P 1'
_space_group_IT_number 1
_space_group_name_Hall 'P 1'
loop_
_atom_site_label
_atom_site_type_symbol
_atom_site_fract_x
_atom_site_fract_y
_atom_site_fract_z
_atom_site_occupancy
Co1 Co 0.260 0.260 0.000 1
Co2 Co 0.260 0.260 0.481 1
Co3 Co 0.260 0.740 0.000 1
Co4 Co 0.740 0.740 0.000 1
Co5 Co 0.740 0.260 0.000 1
Co6 Co 0.740 0.740 0.519 1
Ce1 Ce 0.250 0.750 0.500 1
Ce2 Ce 0.750 0.250 0.500 1
Be1 Be 0.500 0.500 0.000 1
Si1 Si 0.000 0.000 0.000 1
```

Output
**Formation energy from raw total energies**: -107 meV per atom

=====

Calculated final energy, -7.29 -5.71 -2.69 -2.71 -3.34 -3.68 -7.16 -6.47 eV/atom (same order as the records).
Calculated D(E_F), 1.56 20.97 4.34 9.57 2.16 5.86 5.18 3.75 states/eV/f.u. (same order as the records).